Run one
VASP calculation (PBE) on a relaxed structure of CuTeHN2.

Calculated values
space-group type: P4/mmm (123)
calculated volume: 81.4 Å³ per cell
magnetic moment: 3.46 Bohr magnetons per cell

abc: 3.6313 3.6313 6.1758
angles: 90.00 90.00 90.00
With the nearest neighbours (Å) after each atom.
Fractional positions:
Cu1 0.0000 0.0000 0.0000  4 N 1.82
Te1 0.0000 0.0000 0.5000  4 H 2.57
H1 0.5000 0.5000 0.5000  4 Te 2.57
N1 0.0000 0.5000 0.0000  2 Cu 1.82
N2 0.5000 0.0000 0.0000  2 Cu 1.82



Run two
VASP calculation (PBE) on a relaxed structure of CuTeHN2.

Calculated values
space-group type: P4/mmm (123)
calculated volume: 55.5 Å³ per cell
magnetic moment: 0.54 Bohr magnetons per cell

abc: 3.9445 3.9445 3.5674
angles: 90.00 90.00 90.00
With the nearest neighbours (Å) after each atom.
Fractional positions:
Cu1 0.0000 0.0000 0.0000  8 N 2.66, 4 Te 2.79
Te1 0.5000 0.5000 0.0000  2 H 1.78
H1 0.5000 0.5000 0.5000  2 Te 1.78, 4 N 1.97
N1 0.0000 0.5000 0.5000  2 H 1.97
N2 0.5000 0.0000 0.5000  2 H 1.97



Stability ranking, top entry: run one; the second entry is 19.5 kJ/mol of atoms less favorable.



Run one
VASP calculation (PBE) on a relaxed structure of CuTe2HN.

Calculated values
space-group type: P4/mmm (123)
calculated volume: 100.3 Å³ per cell
magnetic moment: 0.28 Bohr magnetons per cell

abc: 5.3785 5.3785 3.4688
angles: 90.00 90.00 90.00
With the nearest neighbours (Å) after each atom.
Fractional positions:
Cu1 0.0000 0.0000 0.0000  2 N 1.73
Te1 0.0000 0.5000 0.0000  2 Cu 2.69
Te2 0.5000 0.0000 0.0000  2 Cu 2.69
H1 0.5000 0.5000 0.5000  8 Te 3.20, 2 H 3.47
N1 0.0000 0.0000 0.5000  2 Cu 1.73



Run two
VASP calculation (PBE) on a relaxed structure of CuTe2HN.

Calculated values
space-group type: P4/mmm (123)
calculated volume: 76.2 Å³ per cell
magnetic moment: 0.00 Bohr magnetons per cell

abc: 5.1394 5.1394 2.8848
angles: 90.00 90.00 90.00
With the nearest neighbours (Å) after each atom.
Fractional positions:
Cu1 0.0000 0.0000 0.0000  2 Cu 2.88, 8 Te 2.95
Te1 0.0000 0.5000 0.5000  2 H 2.57
Te2 0.5000 0.0000 0.5000  2 H 2.57
H1 0.5000 0.5000 0.5000  2 N 1.44
N1 0.5000 0.5000 0.0000  2 H 1.44



Stability ranking, top entry: run two; the second entry is 20.1 kJ/mol of atoms less favorable.



Run one
VASP calculation (PBE) on a relaxed structure of Na2CuH.

Calculated values
space-group type: Fm-3m (225)
calculated volume: 77.5 Å³ per cell
magnetic moment: 0.00 Bohr magnetons per cell

abc: 4.7866 4.7866 4.7866
angles: 60.00 60.00 60.00
With the nearest neighbours (Å) after each atom.
Fractional positions:
Na1 0.2500 0.2500 0.2500  4 H 2.93, 4 Cu 2.93
Na2 0.7500 0.7500 0.7500  4 Cu 2.93, 4 H 2.93
Cu1 0.0000 0.0000 0.0000  8 Na 2.93
H1 0.5000 0.5000 0.5000  8 Na 2.93



Run two
VASP calculation (PBE) on a relaxed structure of Na2CuH.

Calculated values
space-group type: I-42d (122)
calculated volume: 167.1 Å³ per cell
magnetic moment: 0.00 Bohr magnetons per cell

abc: 6.0342 6.0342 6.0342
angles: 113.29 113.29 102.08
With the nearest neighbours (Å) after each atom.
Fractional positions:
Na1 0.0340 0.6250 0.9090  2 H 2.18
Na2 0.3750 0.2840 0.4090  2 H 2.18
Na3 0.7160 0.1250 0.0910  2 H 2.18
Na4 0.8750 0.9660 0.5910  2 H 2.18
Cu1 0.2500 0.7500 0.5000  4 Na 2.96
Cu2 0.5000 0.5000 0.0000  4 Na 2.96
H1 0.0000 0.0000 0.0000  4 Na 2.18
H2 0.7500 0.2500 0.5000  4 Na 2.18



Stability ranking, top entry: run two; the second entry is 15.2 kJ/mol of atoms less favorable.



Run one
VASP calculation (PBE) on a relaxed structure of NaCu2H.

Calculated values
space-group type: I4_1/amd (141)
calculated volume: 111.1 Å³ per cell
magnetic moment: 0.00 Bohr magnetons per cell

abc: 5.3902 5.3902 5.3902
angles: 119.76 119.76 90.42
With the nearest neighbours (Å) after each atom.
Fractional positions:
Na1 0.3750 0.6250 0.7500  12 Cu 3.15-3.17, 4 Na 3.30, 4 H 3.30
Na2 0.6250 0.3750 0.2500  12 Cu 3.15-3.17, 4 Na 3.30, 4 H 3.30
Cu1 0.0000 0.0000 0.0000  2 H 1.65
Cu2 0.0000 0.0000 0.5000  2 H 1.65
Cu3 0.0000 0.5000 0.0000  2 H 1.65
Cu4 0.5000 0.0000 0.5000  2 H 1.65
H1 0.1250 0.8750 0.2500  4 Cu 1.65
H2 0.8750 0.1250 0.7500  4 Cu 1.65



Run two
VASP calculation (PBE) on a relaxed structure of NaCu2H.

Calculated values
space-group type: Fm-3m (225)
calculated volume: 54.8 Å³ per cell
magnetic moment: 0.00 Bohr magnetons per cell

abc: 4.2623 4.2623 4.2623
angles: 60.00 60.00 60.00
With the nearest neighbours (Å) after each atom.
Fractional positions:
Na1 0.0000 0.0000 0.0000  8 Cu 2.61
Cu1 0.2500 0.2500 0.2500  4 H 2.61, 4 Na 2.61
Cu2 0.7500 0.7500 0.7500  4 Na 2.61, 4 H 2.61
H1 0.5000 0.5000 0.5000  8 Cu 2.61



Stability ranking, top entry: run one; the second entry is 67.2 kJ/mol of atoms less favorable.



Run one
VASP calculation (PBE) on a relaxed structure of Na2Cu2H5.

Calculated values
space-group type: P4/mmm (123)
calculated volume: 87.0 Å³ per cell
magnetic moment: 0.00 Bohr magnetons per cell

abc: 3.3926 3.3926 7.5569
angles: 90.00 90.00 90.00
With the nearest neighbours (Å) after each atom.
Fractional positions:
Na1 0.0000 0.0000 0.0000  12 H 2.40-2.66
Na2 0.0000 0.0000 0.5000  8 H 2.42
Cu1 0.5000 0.5000 0.2328  5 H 1.72-1.76
Cu2 0.5000 0.5000 0.7672  5 H 1.72-1.76
H1 0.0000 0.5000 0.2711  2 Cu 1.72
H2 0.0000 0.5000 0.7289  2 Cu 1.72
H3 0.5000 0.0000 0.2711  2 Cu 1.72
H4 0.5000 0.0000 0.7289  2 Cu 1.72
H5 0.5000 0.5000 0.0000  2 Cu 1.76



Run two
VASP calculation (PBE) on a relaxed structure of Na2Cu2H5.

Calculated values
space-group type: C2/m (12)
calculated volume: 93.9 Å³ per cell
magnetic moment: 0.00 Bohr magnetons per cell

abc: 5.0594 5.0594 5.8283
angles: 99.03 99.03 39.69
With the nearest neighbours (Å) after each atom.
Fractional positions:
Na1 0.0977 0.0977 0.3243  5 H 2.38-2.61
Na2 0.9023 0.9023 0.6757  5 H 2.38-2.61
Cu1 0.3428 0.3428 0.1087  5 H 1.60-1.76
Cu2 0.6572 0.6572 0.8913  5 H 1.60-1.76
H1 0.1982 0.1982 0.8965  3 Cu 1.69-1.76
H2 0.3717 0.3717 0.3880  1 Cu 1.60
H3 0.5000 0.5000 0.0000  2 Cu 1.72
H4 0.6283 0.6283 0.6120  1 Cu 1.60
H5 0.8018 0.8018 0.1035  3 Cu 1.69-1.76



Stability ranking, top entry: run one; the second entry is 1.2 kJ/mol of atoms less favorable.



Run one
VASP calculation (PBE) on a relaxed structure of Na3Cu2H7.

Calculated values
space-group type: Cmmm (65)
calculated volume: 122.2 Å³ per cell
magnetic moment: 0.00 Bohr magnetons per cell

abc: 10.2750 10.2750 3.4307
angles: 90.00 90.00 160.28
With the nearest neighbours (Å) after each atom.
Fractional positions:
Na1 0.0000 0.0000 0.0000  12 H 2.40-2.46
Na2 0.1700 0.8300 0.0000  8 H 2.46-2.49
Na3 0.8300 0.1700 0.0000  8 H 2.46-2.49
Cu1 0.4123 0.5877 0.5000  6 H 1.72-1.78
Cu2 0.5877 0.4123 0.5000  6 H 1.72-1.78
H1 0.0831 0.9169 0.5000  2 Cu 1.76
H2 0.3275 0.6725 0.5000  1 Cu 1.72
H3 0.4174 0.5826 0.0000  2 Cu 1.72
H4 0.5000 0.5000 0.5000  2 Cu 1.78
H5 0.5826 0.4174 0.0000  2 Cu 1.72
H6 0.6725 0.3275 0.5000  1 Cu 1.72
H7 0.9169 0.0831 0.5000  2 Cu 1.76



Run two
VASP calculation (PBE) on a relaxed structure of Na3Cu2H7.

Calculated values
space-group type: I4/mmm (139)
calculated volume: 114.8 Å³ per cell
magnetic moment: 0.00 Bohr magnetons per cell

abc: 9.6308 9.6308 9.6308
angles: 158.99 158.99 29.88
With the nearest neighbours (Å) after each atom.
Fractional positions:
Na1 0.0000 0.0000 0.0000  12 H 2.42-2.48
Na2 0.1822 0.1822 0.0000  9 H 2.44-2.48
Na3 0.8178 0.8178 0.0000  9 H 2.44-2.48
Cu1 0.4056 0.4056 0.0000  6 H 1.72-1.76
Cu2 0.5944 0.5944 0.0000  6 H 1.72-1.76
H1 0.0893 0.5893 0.5000  2 Cu 1.76
H2 0.3133 0.3133 0.0000  1 Cu 1.72
H3 0.4107 0.9107 0.5000  2 Cu 1.76
H4 0.5000 0.5000 0.0000  2 Cu 1.76
H5 0.5893 0.0893 0.5000  2 Cu 1.76
H6 0.6867 0.6867 0.0000  1 Cu 1.72
H7 0.9107 0.4107 0.5000  2 Cu 1.76



Stability ranking, top entry: run two; the second entry is 1.7 kJ/mol of atoms less favorable.



Run one
VASP calculation (PBE) on a relaxed structure of NaCuHPt2.

Calculated values
space-group type: P4/mmm (123)
calculated volume: 64.9 Å³ per cell
magnetic moment: 0.00 Bohr magnetons per cell

abc: 3.9937 3.9937 4.0708
angles: 90.00 90.00 90.00
With the nearest neighbours (Å) after each atom.
Fractional positions:
Na1 0.0000 0.0000 0.0000  4 Cu 2.82, 8 Pt 2.85
Cu1 0.5000 0.5000 0.0000  2 H 2.04
H1 0.5000 0.5000 0.5000  4 Pt 2.00, 2 Cu 2.04
Pt1 0.0000 0.5000 0.5000  2 H 2.00
Pt2 0.5000 0.0000 0.5000  2 H 2.00



Run two
VASP calculation (PBE) on a relaxed structure of NaCuHPt2.

Calculated values
space-group type: P4/mmm (123)
calculated volume: 64.9 Å³ per cell
magnetic moment: 0.00 Bohr magnetons per cell

abc: 3.9374 3.9374 4.1872
angles: 90.00 90.00 90.00
With the nearest neighbours (Å) after each atom.
Fractional positions:
Na1 0.0000 0.0000 0.0000  2 H 2.09
Cu1 0.5000 0.5000 0.0000  4 Na 2.78, 8 Pt 2.87
H1 0.0000 0.0000 0.5000  4 Pt 1.97, 2 Na 2.09
Pt1 0.0000 0.5000 0.5000  2 H 1.97
Pt2 0.5000 0.0000 0.5000  2 H 1.97



Stability ranking, top entry: run two; the second entry is 4.1 kJ/mol of atoms less favorable.



Run one
VASP calculation (PBE) on a relaxed structure of Nb2CuH2.

Calculated values
space-group type: I4/mmm (139)
calculated volume: 55.3 Å³ per cell
magnetic moment: 0.00 Bohr magnetons per cell

abc: 5.1159 5.1159 5.1159
angles: 139.78 139.78 58.19
With the nearest neighbours (Å) after each atom.
Fractional positions:
Nb1 0.1544 0.1544 0.0000  4 H 1.96
Nb2 0.8456 0.8456 0.0000  4 H 1.96
Cu1 0.5000 0.5000 0.0000  8 H 2.84, 10 Nb 2.85-3.09
H1 0.2500 0.7500 0.5000  4 Nb 1.96
H2 0.7500 0.2500 0.5000  4 Nb 1.96



Run two
VASP calculation (PBE) on a relaxed structure of Nb2CuH2.

Calculated values
space-group type: P4/mbm (127)
calculated volume: 106.0 Å³ per cell
magnetic moment: 0.00 Bohr magnetons per cell

abc: 6.1917 6.1917 2.7657
angles: 90.00 90.00 90.00
With the nearest neighbours (Å) after each atom.
Fractional positions:
Nb1 0.1602 0.3398 0.0000  6 H 2.27-2.30
Nb2 0.3398 0.8398 0.0000  6 H 2.27-2.30
Nb3 0.6602 0.1602 0.0000  6 H 2.27-2.30
Nb4 0.8398 0.6602 0.0000  6 H 2.27-2.30
Cu1 0.0000 0.0000 0.5000  4 H 2.41
Cu2 0.5000 0.5000 0.5000  4 H 2.41
H1 0.1347 0.6347 0.5000  6 Nb 2.27-2.30, 1 H 2.36, 2 Cu 2.41
H2 0.3653 0.1347 0.5000  6 Nb 2.27-2.30, 1 H 2.36, 2 Cu 2.41
H3 0.6347 0.8653 0.5000  6 Nb 2.27-2.30, 1 H 2.36, 2 Cu 2.41
H4 0.8653 0.3653 0.5000  6 Nb 2.27-2.30, 1 H 2.36, 2 Cu 2.41



Stability ranking, top entry: run one; the second entry is 14.7 kJ/mol of atoms less favorable.



Run one
VASP calculation (PBE) on a relaxed structure of Nb2CuH.

Calculated values
space-group type: R-3m (166)
calculated volume: 64.5 Å³ per cell
magnetic moment: 0.00 Bohr magnetons per cell

abc: 7.4491 7.4491 7.4491
angles: 24.91 24.91 24.91
With the nearest neighbours (Å) after each atom.
Fractional positions:
Nb1 0.1230 0.1230 0.1230  3 H 2.08
Nb2 0.8770 0.8770 0.8770  3 H 2.08
Cu1 0.0000 0.0000 0.0000  2 Nb 2.66
H1 0.5000 0.5000 0.5000  6 Nb 2.08



Run two
VASP calculation (PBE) on a relaxed structure of Nb2CuH.

Calculated values
space-group type: Fm-3m (225)
calculated volume: 54.4 Å³ per cell
magnetic moment: 0.00 Bohr magnetons per cell

abc: 4.2525 4.2525 4.2525
angles: 60.00 60.00 60.00
With the nearest neighbours (Å) after each atom.
Fractional positions:
Nb1 0.2500 0.2500 0.2500  4 H 2.60, 4 Cu 2.60
Nb2 0.7500 0.7500 0.7500  4 H 2.60, 4 Cu 2.60
Cu1 0.0000 0.0000 0.0000  8 Nb 2.60
H1 0.5000 0.5000 0.5000  8 Nb 2.60



Run three
VASP calculation (PBE) on a relaxed structure of Nb2CuH.

Calculated values
space-group type: I-42d (122)
calculated volume: 124.1 Å³ per cell
magnetic moment: 0.00 Bohr magnetons per cell

abc: 6.3138 6.3138 6.3138
angles: 134.96 134.96 65.59
With the nearest neighbours (Å) after each atom.
Fractional positions:
Nb1 0.3750 0.2306 0.3556  2 H 1.87
Nb2 0.7694 0.1250 0.1444  2 H 1.87
Nb3 0.8750 0.0194 0.6444  2 H 1.87
Nb4 0.9806 0.6250 0.8556  2 H 1.87
Cu1 0.2500 0.7500 0.5000  4 Nb 2.62
Cu2 0.5000 0.5000 0.0000  4 Nb 2.62
H1 0.0000 0.0000 0.0000  4 Nb 1.87
H2 0.7500 0.2500 0.5000  4 Nb 1.87



Stability ranking, top entry: run two; the second entry is 17.1 kJ/mol of atoms less favorable.



Run one
VASP calculation (PBE) on a relaxed structure of Nb2CuHPd.

Calculated values
space-group type: P4/mmm (123)
calculated volume: 66.6 Å³ per cell
magnetic moment: 0.00 Bohr magnetons per cell

abc: 4.0438 4.0438 4.0749
angles: 90.00 90.00 90.00
With the nearest neighbours (Å) after each atom.
Fractional positions:
Nb1 0.0000 0.5000 0.0000  2 H 2.02
Nb2 0.5000 0.0000 0.0000  2 H 2.02
Cu1 0.0000 0.0000 0.5000  4 Pd 2.86, 8 Nb 2.87
H1 0.5000 0.5000 0.0000  4 Nb 2.02, 2 Pd 2.04
Pd1 0.5000 0.5000 0.5000  2 H 2.04



Run two
VASP calculation (PBE) on a relaxed structure of Nb2CuHPd.

Calculated values
space-group type: P4/mmm (123)
calculated volume: 66.1 Å³ per cell
magnetic moment: 0.00 Bohr magnetons per cell

abc: 4.0356 4.0356 4.0601
angles: 90.00 90.00 90.00
With the nearest neighbours (Å) after each atom.
Fractional positions:
Nb1 0.0000 0.5000 0.0000  2 H 2.02
Nb2 0.5000 0.0000 0.0000  2 H 2.02
Cu1 0.0000 0.0000 0.5000  2 H 2.03
H1 0.0000 0.0000 0.0000  4 Nb 2.02, 2 Cu 2.03
Pd1 0.5000 0.5000 0.5000  4 Cu 2.85, 8 Nb 2.86



Stability ranking, top entry: run two; the second entry is 2.4 kJ/mol of atoms less favorable.



Run one
VASP calculation (PBE) on a relaxed structure of Nb2CuHPt.

Calculated values
space-group type: P4/mmm (123)
calculated volume: 66.2 Å³ per cell
magnetic moment: 0.00 Bohr magnetons per cell

abc: 4.0549 4.0549 4.0287
angles: 90.00 90.00 90.00
With the nearest neighbours (Å) after each atom.
Fractional positions:
Nb1 0.0000 0.5000 0.0000  2 H 2.03
Nb2 0.5000 0.0000 0.0000  2 H 2.03
Cu1 0.0000 0.0000 0.5000  2 H 2.01
H1 0.0000 0.0000 0.0000  2 Cu 2.01, 4 Nb 2.03
Pt1 0.5000 0.5000 0.5000  8 Nb 2.86, 4 Cu 2.87



Run two
VASP calculation (PBE) on a relaxed structure of Nb2CuHPt.

Calculated values
space-group type: P4/mmm (123)
calculated volume: 66.8 Å³ per cell
magnetic moment: 0.00 Bohr magnetons per cell

abc: 4.0764 4.0764 4.0220
angles: 90.00 90.00 90.00
With the nearest neighbours (Å) after each atom.
Fractional positions:
Nb1 0.0000 0.5000 0.0000  2 H 2.04
Nb2 0.5000 0.0000 0.0000  2 H 2.04
Cu1 0.0000 0.0000 0.5000  8 Nb 2.86, 4 Pt 2.88
H1 0.5000 0.5000 0.0000  2 Pt 2.01, 4 Nb 2.04
Pt1 0.5000 0.5000 0.5000  2 H 2.01



Stability ranking, top entry: run one; the second entry is 6.1 kJ/mol of atoms less favorable.



Run one
VASP calculation (PBE) on a relaxed structure of NbCuHRh2.

Calculated values
space-group type: P4/mmm (123)
calculated volume: 60.6 Å³ per cell
magnetic moment: 0.00 Bohr magnetons per cell

abc: 4.0369 4.0369 3.7216
angles: 90.00 90.00 90.00
With the nearest neighbours (Å) after each atom.
Fractional positions:
Nb1 0.0000 0.0000 0.0000  8 Rh 2.75, 4 Cu 2.85
Cu1 0.5000 0.5000 0.0000  2 H 1.86
H1 0.5000 0.5000 0.5000  2 Cu 1.86, 4 Rh 2.02
Rh1 0.0000 0.5000 0.5000  2 H 2.02
Rh2 0.5000 0.0000 0.5000  2 H 2.02



Run two
VASP calculation (PBE) on a relaxed structure of NbCuHRh2.

Calculated values
space-group type: P4/mmm (123)
calculated volume: 61.3 Å³ per cell
magnetic moment: 0.00 Bohr magnetons per cell

abc: 3.9563 3.9563 3.9192
angles: 90.00 90.00 90.00
With the nearest neighbours (Å) after each atom.
Fractional positions:
Nb1 0.0000 0.0000 0.0000  2 H 1.96
Cu1 0.5000 0.5000 0.0000  8 Rh 2.78, 4 Nb 2.80
H1 0.0000 0.0000 0.5000  2 Nb 1.96, 4 Rh 1.98
Rh1 0.0000 0.5000 0.5000  2 H 1.98
Rh2 0.5000 0.0000 0.5000  2 H 1.98



Stability ranking, top entry: run one; the second entry is 0.9 kJ/mol of atoms less favorable.